Compound: GeSb3As
Source: Alexandria
Functional: PBE-GGA
Structure: relaxed

The space group is Pm-3m (No. 221) and the conventional cell measures 5.356, 5.356 and 5.356 Å, with angles of 90.00, 90.00 and 90.00 degrees. Symmetry generates all atoms from Ge at (0.000, 0.000, 0.000), Sb at (0.000, 0.500, 0.500) and As at (0.500, 0.500, 0.500).

The uncorrected formation energy comes out at 0.775 eV per atom. For the uncorrected energy, the calculation gives -17.758 eV per cell. As for the crystal system: cubic. The excess energy over the best structure of this formula in the dataset comes out at 0 meV/atom.